1.
The following is a DFT calculation (GGA-PBEsol) of an optimized crystal structure of Rb2MgBRh.

Output
Formation energy from the elements, eV/atom: 1.61

Lattice parameters (Å, degrees): 6.486 6.486 4.698 90.00 90.00 90.00
Space group P4/mmm (No. 123)
Inequivalent atoms, fractional coordinates:
Rb (0.000, 0.500, 0.000) (multiplicity 2)
Mg (0.000, 0.000, 0.000) (multiplicity 1)
B (0.500, 0.500, 0.500) (multiplicity 1)
Rh (0.000, 0.000, 0.500) (multiplicity 1)

---

2.
The following is a DFT calculation (GGA-PBEsol) of an optimized crystal structure of RbYMgB2.

Output
Formation energy from the elements, eV/atom: 1.54

Lattice parameters (Å, degrees): 4.547 4.547 4.903 90.00 90.00 90.00
Space group P4/mmm (No. 123)
Inequivalent atoms, fractional coordinates:
Rb (0.000, 0.000, 0.000) (multiplicity 1)
Y (0.500, 0.500, 0.000) (multiplicity 1)
Mg (0.000, 0.000, 0.500) (multiplicity 1)
B (0.000, 0.500, 0.500) (multiplicity 2)

---

3.
The following is a DFT calculation (GGA-PBEsol) of an optimized crystal structure of Mg2ScReB.

Output
Formation energy from the elements, eV/atom: 1.55

Lattice parameters (Å, degrees): 5.032 5.032 4.738 90.00 90.00 90.00
Space group P4/mmm (No. 123)
Inequivalent atoms, fractional coordinates:
Mg (0.000, 0.500, 0.000) (multiplicity 2)
Sc (0.000, 0.000, 0.500) (multiplicity 1)
Re (0.000, 0.000, 0.000) (multiplicity 1)
B (0.500, 0.500, 0.500) (multiplicity 1)

---

4.
The following is a DFT calculation (GGA-PBEsol) of an optimized crystal structure of Mg8BRh4.

Output
Formation energy from the elements, eV/atom: -0.40

Lattice parameters (Å, degrees): 12.118 12.118 12.118 90.00 90.00 90.00
Space group Fd-3m (No. 227, origin choice 2)
Inequivalent atoms, fractional coordinates:
Mg (0.000, 0.000, 0.000) (multiplicity 16)
Mg (0.076, 0.375, 0.875) (multiplicity 48)
B (0.125, 0.125, 0.125) (multiplicity 8)
Rh (0.029, 0.029, 0.221) (multiplicity 32)

---

5.
The following is a DFT calculation (GGA-PBEsol) of an optimized crystal structure of Mg2BRh2.

Output
Formation energy from the elements, eV/atom: -0.44

Lattice parameters (Å, degrees): 5.723 5.723 4.246 90.00 90.00 90.00
Space group P4/mbm (No. 127)
Inequivalent atoms, fractional coordinates:
Mg (0.165, 0.335, 0.000) (multiplicity 4)
B (0.000, 0.000, 0.500) (multiplicity 2)
Rh (0.162, 0.662, 0.500) (multiplicity 4)

---

6.
The following is a DFT calculation (GGA-PBEsol) of an optimized crystal structure of MgBRh3.

Output
Formation energy from the elements, eV/atom: -0.38

Lattice parameters (Å, degrees): 4.054 4.054 4.054 90.00 90.00 90.00
Space group Pm-3m (No. 221)
Inequivalent atoms, fractional coordinates:
Mg (0.000, 0.000, 0.000) (multiplicity 1)
B (0.500, 0.500, 0.500) (multiplicity 1)
Rh (0.000, 0.500, 0.500) (multiplicity 3)

---

7.
The following is a DFT calculation (GGA-PBEsol) of an optimized crystal structure of Mg3B2Rh5.

Output
Formation energy from the elements, eV/atom: -0.56

Lattice parameters (Å, degrees): 9.406 9.406 2.912 90.00 90.00 90.00
Space group P4/mbm (No. 127)
Inequivalent atoms, fractional coordinates:
Mg (0.000, 0.000, 0.000) (multiplicity 2)
Mg (0.177, 0.323, 0.000) (multiplicity 4)
B (0.126, 0.626, 0.000) (multiplicity 4)
Rh (0.000, 0.500, 0.500) (multiplicity 2)
Rh (0.070, 0.780, 0.500) (multiplicity 8)

---

8.
The following is a DFT calculation (GGA-PBEsol) of an optimized crystal structure of MgB2Ru2.

Output
Formation energy from the elements, eV/atom: -0.26

Lattice parameters (Å, degrees): 6.073 6.073 2.842 90.00 90.00 90.00
Space group P4/mbm (No. 127)
Inequivalent atoms, fractional coordinates:
Mg (0.000, 0.000, 0.000) (multiplicity 2)
B (0.121, 0.379, 0.000) (multiplicity 4)
Ru (0.159, 0.659, 0.500) (multiplicity 4)